Material: V2MoPt5
Method: DFT, PBE
State: optimized geometry

```
data_V2MoPt5
_chemical_formula_sum 'V4 Mo2 Pt10'
_space_group_name_H-M_alt 'P b a m'
_space_group_IT_number 55
_cell_length_a 5.5588
_cell_length_b 11.1626
_cell_length_c 3.8584
_cell_angle_alpha 90.00
_cell_angle_beta 90.00
_cell_angle_gamma 90.00
loop_
_space_group_symop_operation_xyz
'x,y,z'
'-x,-y,-z'
'-x,-y,z'
'x,y,-z'
'x+1/2,-y+1/2,-z'
'-x+1/2,y+1/2,z'
'-x+1/2,y+1/2,-z'
'x+1/2,-y+1/2,z'
loop_
_atom_site_label
_atom_site_type_symbol
_atom_site_fract_x
_atom_site_fract_y
_atom_site_fract_z
V1 V 0.2338 0.1205 0.0000
Mo1 Mo 0.0000 0.0000 0.5000
Pt1 Pt 0.0000 0.5000 0.5000
Pt2 Pt 0.0113 0.7529 0.5000
Pt3 Pt 0.2472 0.3784 0.0000
```

Calculated values
final energy	-0.2886	Ha/atom
ρ	16.27	Mg/m³
calculated formation energy	-0.4449	eV per atom
V	239	Å³/cell